[1]
Compound: Sr2MgTl
Source: Alexandria via LeMat-Bulk
Functional: meta-GGA SCAN
Structure: PBEsol geometry

Values from the calculation:
The theoretical density is 5.11 Mg/m³. Its symmetry is I-4m2, No. 119. As for the uncorrected energy: -30.65 eV/atom. Its formation enthalpy at 0 K is -0.181 eV per atom. The density of states at the Fermi level is 3.21 states/eV per cell.

Lattice parameters (Å, degrees): 5.072 5.072 6.240 113.98 113.98 90.00
Fractional coordinates of all 4 atoms:
Mg1 0.250 0.750 0.500
Sr1 0.750 0.250 0.500
Sr2 0.000 0.000 0.000
Tl1 0.500 0.500 0.000

---

[2]
Compound: Sr2MgTl
Source: Alexandria via LeMat-Bulk
Functional: meta-GGA SCAN
Structure: PBEsol geometry

Values from the calculation:
The theoretical density is 5.05 Mg/m³. Its symmetry is Pmm2, No. 25. As for the uncorrected energy: -30.83 eV/atom. Its formation enthalpy at 0 K is -0.358 eV per atom. The density of states at the Fermi level is 2.28 states/eV per cell.

Lattice parameters (Å, degrees): 3.980 5.775 5.776 90.00 90.00 90.00
Fractional coordinates of all 4 atoms:
Sr1 0.000 0.500 0.627
Sr2 0.000 0.000 0.123
Mg1 0.500 0.500 0.128
Tl1 0.500 0.000 0.622

---

[3]
Compound: SrMgTl3
Source: Alexandria via LeMat-Bulk
Functional: meta-GGA SCAN
Structure: PBEsol geometry

Values from the calculation:
The theoretical density is 5.42 Mg/m³. Its symmetry is Pm-3m, No. 221. As for the uncorrected energy: -48.23 eV/atom. Its formation enthalpy at 0 K is 0.637 eV per atom. The density of states at the Fermi level is 5.65 states/eV per cell.

Lattice parameters (Å, degrees): 6.057 6.057 6.057 90.00 90.00 90.00
Fractional coordinates of all 5 atoms:
Tl1 0.500 0.000 0.000
Tl2 0.000 0.000 0.500
Tl3 0.000 0.500 0.000
Mg1 0.500 0.500 0.500
Sr1 0.000 0.000 0.000

---

[4]
Compound: Sr2MgTl2
Source: Alexandria via LeMat-Bulk
Functional: meta-GGA SCAN
Structure: PBEsol geometry

Values from the calculation:
The theoretical density is 6.22 Mg/m³. Its symmetry is P4/mbm, No. 127. As for the uncorrected energy: -39.29 eV/atom. Its formation enthalpy at 0 K is -0.442 eV per atom. The density of states at the Fermi level is 7.68 states/eV per cell.

Lattice parameters (Å, degrees): 4.920 8.126 8.126 90.00 90.00 90.00
Fractional coordinates of all 10 atoms:
Tl1 0.000 0.637 0.137
Tl2 0.000 0.137 0.363
Tl3 0.000 0.863 0.637
Tl4 0.000 0.363 0.863
Sr1 0.500 0.332 0.168
Sr2 0.500 0.832 0.332
Sr3 0.500 0.668 0.832
Sr4 0.500 0.168 0.668
Mg1 0.000 0.000 0.000
Mg2 0.000 0.500 0.500

---

[5]
Compound: Sr2MgTl
Source: Alexandria via LeMat-Bulk
Functional: meta-GGA SCAN
Structure: PBEsol geometry

Values from the calculation:
The theoretical density is 4.96 Mg/m³. Its symmetry is Cm, No. 8. As for the uncorrected energy: -30.78 eV/atom. Its formation enthalpy at 0 K is -0.310 eV per atom. The density of states at the Fermi level is 2.27 states/eV per cell.

Lattice parameters (Å, degrees): 3.961 5.770 6.887 114.95 106.71 90.00
Fractional coordinates of all 4 atoms:
Tl1 0.523 0.524 0.046
Mg1 0.211 0.710 0.422
Sr1 0.782 0.281 0.563
Sr2 0.984 0.985 0.969

---

[6]
Compound: SrMg2Tl
Source: Alexandria via LeMat-Bulk
Functional: meta-GGA SCAN
Structure: PBEsol geometry

Values from the calculation:
The theoretical density is 4.92 Mg/m³. Its symmetry is P4/mmm, No. 123. As for the uncorrected energy: -26.28 eV/atom. Its formation enthalpy at 0 K is -0.134 eV per atom. The density of states at the Fermi level is 1.73 states/eV per cell.

Lattice parameters (Å, degrees): 3.896 3.896 7.574 90.00 90.00 90.00
Fractional coordinates of all 4 atoms:
Mg1 0.000 0.000 0.705
Mg2 0.000 0.000 0.295
Sr1 0.500 0.500 0.000
Tl1 0.500 0.500 0.500

---

[7]
Compound: SrMgTl
Source: Alexandria via LeMat-Bulk
Functional: meta-GGA SCAN
Structure: PBEsol geometry

Values from the calculation:
The theoretical density is 5.89 Mg/m³. Its symmetry is P-6m2, No. 187. As for the uncorrected energy: -33.62 eV/atom. Its formation enthalpy at 0 K is -0.416 eV per atom. The density of states at the Fermi level is 1.36 states/eV per cell.

Lattice parameters (Å, degrees): 3.902 5.135 5.135 120.00 90.00 90.00
Fractional coordinates of all 3 atoms:
Mg1 0.167 0.000 0.000
Sr1 0.667 0.333 0.667
Tl1 0.167 0.667 0.333

---

[8]
Compound: SrMg2Tl
Source: Alexandria via LeMat-Bulk
Functional: meta-GGA SCAN
Structure: PBEsol geometry

Values from the calculation:
The theoretical density is 5.01 Mg/m³. Its symmetry is P4/mmm, No. 123. As for the uncorrected energy: -26.32 eV/atom. Its formation enthalpy at 0 K is -0.175 eV per atom. The density of states at the Fermi level is 2.65 states/eV per cell.

Lattice parameters (Å, degrees): 4.704 4.696 5.108 90.00 90.00 90.00
Fractional coordinates of all 4 atoms:
Tl1 0.000 0.500 0.500
Mg1 0.000 0.000 0.000
Mg2 0.500 0.500 0.000
Sr1 0.500 0.000 0.500

---

[9]
Compound: SrMgTl
Source: Alexandria via LeMat-Bulk
Functional: meta-GGA SCAN
Structure: PBEsol geometry

Values from the calculation:
The theoretical density is 4.76 Mg/m³. Its symmetry is F-43m, No. 216. As for the uncorrected energy: -32.99 eV/atom. Its formation enthalpy at 0 K is 0.209 eV per atom. The density of states at the Fermi level is 4.15 states/eV per cell.

Lattice parameters (Å, degrees): 5.383 5.383 5.383 60.00 60.00 60.00
Fractional coordinates of all 3 atoms:
Tl1 0.000 0.000 0.000
Sr1 0.250 0.250 0.250
Mg1 0.500 0.500 0.500

---

[10]
Compound: Sr2MgTl
Source: Alexandria via LeMat-Bulk
Functional: meta-GGA SCAN
Structure: PBEsol geometry

Values from the calculation:
The theoretical density is 5.05 Mg/m³. Its symmetry is Fm-3m, No. 225. As for the uncorrected energy: -30.83 eV/atom. Its formation enthalpy at 0 K is -0.358 eV per atom. The density of states at the Fermi level is 2.57 states/eV per cell.

Lattice parameters (Å, degrees): 5.729 5.729 5.729 60.00 60.00 60.00
Fractional coordinates of all 4 atoms:
Sr1 0.250 0.250 0.250
Sr2 0.750 0.750 0.750
Tl1 0.000 0.000 0.000
Mg1 0.500 0.500 0.500

---

[11]
Compound: SrMgTl4
Source: Alexandria via LeMat-Bulk
Functional: meta-GGA SCAN
Structure: PBEsol geometry

Values from the calculation:
The theoretical density is 8.59 Mg/m³. Its symmetry is F-43m, No. 216. As for the uncorrected energy: -52.89 eV/atom. Its formation enthalpy at 0 K is -0.111 eV per atom. The density of states at the Fermi level is 3.61 states/eV per cell.

Lattice parameters (Å, degrees): 6.333 6.333 6.333 60.00 60.00 60.00
Fractional coordinates of all 6 atoms:
Tl1 0.375 0.375 0.874
Tl2 0.874 0.375 0.375
Tl3 0.375 0.874 0.375
Tl4 0.375 0.375 0.375
Sr1 0.000 0.000 0.000
Mg1 0.750 0.750 0.750

---

[12]
Compound: SrMg2Tl
Source: Alexandria via LeMat-Bulk
Functional: meta-GGA SCAN
Structure: PBEsol geometry

Values from the calculation:
The theoretical density is 4.93 Mg/m³. Its symmetry is Immm, No. 71. As for the uncorrected energy: -26.32 eV/atom. Its formation enthalpy at 0 K is -0.171 eV per atom. The density of states at the Fermi level is 2.05 states/eV per cell.

Lattice parameters (Å, degrees): 4.075 5.375 6.233 115.54 109.08 90.00
Fractional coordinates of all 4 atoms:
Mg1 0.775 0.775 0.550
Mg2 0.225 0.225 0.450
Sr1 0.000 0.500 0.000
Tl1 0.500 0.000 0.000

---

[13]
Compound: SrMgTl
Source: Alexandria via LeMat-Bulk
Functional: meta-GGA SCAN
Structure: PBEsol geometry

Values from the calculation:
The theoretical density is 5.37 Mg/m³. Its symmetry is F-43m, No. 216. As for the uncorrected energy: -33.33 eV/atom. Its formation enthalpy at 0 K is -0.126 eV per atom. The density of states at the Fermi level is 4.09 states/eV per cell.

Lattice parameters (Å, degrees): 5.170 5.170 5.170 60.00 60.00 60.00
Fractional coordinates of all 3 atoms:
Mg1 0.250 0.250 0.250
Tl1 0.500 0.500 0.500
Sr1 0.000 0.000 0.000

---

[14]
Compound: SrMg2Tl
Source: Alexandria via LeMat-Bulk
Functional: meta-GGA SCAN
Structure: PBEsol geometry

Values from the calculation:
The theoretical density is 4.75 Mg/m³. Its symmetry is Cmmm, No. 65. As for the uncorrected energy: -26.15 eV/atom. Its formation enthalpy at 0 K is -0.004 eV per atom. The density of states at the Fermi level is 2.78 states/eV per cell.

Lattice parameters (Å, degrees): 3.712 5.842 5.842 109.90 90.00 90.00
Fractional coordinates of all 4 atoms:
Mg1 0.000 0.500 0.000
Mg2 0.000 0.000 0.500
Sr1 0.500 0.000 0.000
Tl1 0.500 0.500 0.500

---

[15]
Compound: SrMgW3
Source: Alexandria via LeMat-Bulk
Functional: meta-GGA SCAN
Structure: PBEsol geometry

Values from the calculation:
The theoretical density is 10.10 Mg/m³. Its symmetry is Pm-3m, No. 221. As for the uncorrected energy: -43.59 eV/atom. Its formation enthalpy at 0 K is 3.670 eV per atom. The density of states at the Fermi level is 4.54 states/eV per cell.

Lattice parameters (Å, degrees): 4.777 4.777 4.777 90.00 90.00 90.00
Fractional coordinates of all 5 atoms:
W1 0.000 0.000 0.500
W2 0.500 0.000 0.000
W3 0.000 0.500 0.000
Mg1 0.500 0.500 0.500
Sr1 0.000 0.000 0.000